Computed, not measured: crystalline MnCrHO2 at its relaxed geometry at the PBE+U level of DFT.

- Crystal system: monoclinic
- Total moment: 16.000 Bohr magnetons per cell
- Distance to the lowest polymorph of the same formula: 0.0 meV per atom

Lattice parameters (Å, degrees): 5.391 3.115 5.948 90.00 90.06 90.00
Space group Cm (No. 8)
Unique sites:
1 Mn 0.000 0.000 0.000 x2
2 Cr 0.335 0.000 0.533 x2
3 H 0.334 0.000 0.057 x2
4 O 0.001 0.000 0.374 x2
5 O 0.168 0.500 0.720 x2